Compound: Nd5Zn
Source: the Alexandria database
Functional: PBE
Structure: relaxed

Calculated values
The density of states at the Fermi level is 8.26 states/eV/f.u. The polymorph energy (0 for the lowest one) is 0.61 eV/f.u. The raw total energy is -0.15361 Ha/atom.

Lattice parameters (Å, degrees): 4.9048 15.4277 4.9888 90.00 90.00 90.00
With the nearest neighbours (Å) after each atom.
Space group Cmmm (No. 65)
Unique sites:
Nd1 0.0000 0.0000 0.0000 (multiplicity 2)  4 Zn 3.50, 8 Nd 3.51-3.52
Nd2 0.0000 0.1601 0.5000 (multiplicity 4)  2 Zn 3.48, 10 Nd 3.50-3.70
Nd3 0.0000 0.3363 0.0000 (multiplicity 4)  10 Nd 3.50-3.69, 2 Zn 3.55
Zn1 0.0000 0.5000 0.5000 (multiplicity 2)  12 Nd 3.48-3.55